# 1
# BaZr2P

BaZr2P at its PBEsol-relaxed geometry (meta-GGA SCAN, the Alexandria database).

Values from the calculation:
Uncorrected energy: -110.70 eV for the cell shown
Space group: P4/mmm (123)
Mass density: 6.784 Mg/m³

Cell lengths 4.551, 4.551, 4.145 Å; angles 90.00, 90.00, 90.00 degrees
Element x y z (fractional)
Ba  0.000  0.000  0.000
Zr  0.000  0.500  0.500
Zr  0.500  0.000  0.500
P  0.500  0.500  0.000



# 2
# BaPb3

BaPb3 at its PBEsol-relaxed geometry (meta-GGA SCAN, the Alexandria database).

Values from the calculation:
Uncorrected energy: -537.52 eV for the cell shown
Space group: Pmmn (59)
Mass density: 9.394 Mg/m³

Cell lengths 5.883, 6.910, 6.600 Å; angles 90.00, 90.00, 90.00 degrees
Element x y z (fractional)
Ba  0.250  0.250  0.130
Ba  0.750  0.750  0.870
Pb  0.250  0.015  0.642
Pb  0.250  0.485  0.642
Pb  0.250  0.750  0.251
Pb  0.750  0.250  0.749
Pb  0.750  0.515  0.358
Pb  0.750  0.985  0.358



# 3
# BaPb3

BaPb3 at its PBEsol-relaxed geometry (meta-GGA SCAN, the Alexandria database).

Values from the calculation:
Uncorrected energy: -268.64 eV for the cell shown
Space group: I4/mmm (139)
Mass density: 9.859 Mg/m³

Cell lengths 6.198, 6.198, 6.198 Å; angles 132.27, 132.27, 69.80 degrees
Element x y z (fractional)
Ba  0.000  0.000  0.000
Pb  0.250  0.750  0.500
Pb  0.500  0.500  0.000
Pb  0.750  0.250  0.500



# 4
# BaPb

BaPb at its PBEsol-relaxed geometry (meta-GGA SCAN, the Alexandria database).

Values from the calculation:
Uncorrected energy: -233.59 eV for the cell shown
Space group: Imma (74)
Mass density: 7.808 Mg/m³

Cell lengths 6.891, 6.891, 6.891 Å; angles 141.54, 133.27, 62.07 degrees
Element x y z (fractional)
Ba  0.362  0.112  0.250
Ba  0.638  0.888  0.750
Pb  0.088  0.338  0.750
Pb  0.912  0.662  0.250



# 5
# Ba3Pb

Ba3Pb at its PBEsol-relaxed geometry (meta-GGA SCAN, the Alexandria database).

Values from the calculation:
Uncorrected energy: -195.99 eV for the cell shown
Space group: I4/mmm (139)
Mass density: 6.273 Mg/m³

Cell lengths 6.774, 6.774, 6.774 Å; angles 132.88, 132.88, 68.85 degrees
Element x y z (fractional)
Ba  0.000  0.000  0.000
Ba  0.250  0.750  0.500
Ba  0.750  0.250  0.500
Pb  0.500  0.500  0.000



# 6
# BaPb2

BaPb2 at its PBEsol-relaxed geometry (meta-GGA SCAN, the Alexandria database).

Values from the calculation:
Uncorrected energy: -386.04 eV for the cell shown
Space group: C2/m (12)
Mass density: 8.630 Mg/m³

Cell lengths 6.845, 6.845, 7.090 Å; angles 112.88, 112.88, 44.79 degrees
Element x y z (fractional)
Ba  0.190  0.190  0.232
Ba  0.810  0.810  0.768
Pb  0.109  0.109  0.693
Pb  0.493  0.493  0.766
Pb  0.507  0.507  0.234
Pb  0.891  0.891  0.307



# 7
# BaPb

BaPb at its PBEsol-relaxed geometry (meta-GGA SCAN, the Alexandria database).

Values from the calculation:
Uncorrected energy: -233.94 eV for the cell shown
Space group: Cmcm (63)
Mass density: 7.157 Mg/m³

Cell lengths 6.845, 6.845, 4.780 Å; angles 90.00, 90.00, 134.46 degrees
Element x y z (fractional)
Ba  0.134  0.866  0.750
Ba  0.866  0.134  0.250
Pb  0.422  0.578  0.750
Pb  0.578  0.422  0.250



# 8
# BaPb2

BaPb2 at its PBEsol-relaxed geometry (meta-GGA SCAN, the Alexandria database).

Values from the calculation:
Uncorrected energy: -386.01 eV for the cell shown
Space group: I4_1/amd (141)
Mass density: 8.106 Mg/m³

Cell lengths 10.090, 10.090, 10.090 Å; angles 151.99, 151.99, 40.02 degrees
Element x y z (fractional)
Ba  0.375  0.625  0.750
Ba  0.625  0.375  0.250
Pb  0.045  0.795  0.250
Pb  0.205  0.955  0.250
Pb  0.795  0.045  0.750
Pb  0.955  0.205  0.750



# 9
# BaPb3

BaPb3 at its PBEsol-relaxed geometry (meta-GGA SCAN, the Alexandria database).

Values from the calculation:
Uncorrected energy: -268.80 eV for the cell shown
Space group: C2/m (12)
Mass density: 9.351 Mg/m³

Cell lengths 5.832, 5.832, 5.866 Å; angles 107.77, 107.77, 45.71 degrees
Element x y z (fractional)
Ba  0.000  0.000  0.000
Pb  0.239  0.239  0.684
Pb  0.500  0.500  0.500
Pb  0.761  0.761  0.316



# 10
# BaPb3

BaPb3 at its PBEsol-relaxed geometry (meta-GGA SCAN, the Alexandria database).

Values from the calculation:
Uncorrected energy: -806.95 eV for the cell shown
Space group: R-3m (166)
Mass density: 9.761 Mg/m³

Cell lengths 9.466, 9.466, 9.466 Å; angles 45.09, 45.09, 45.09 degrees
Element x y z (fractional)
Ba  0.000  0.000  0.000
Ba  0.217  0.217  0.217
Ba  0.783  0.783  0.783
Pb  0.000  0.500  0.500
Pb  0.262  0.704  0.704
Pb  0.296  0.296  0.738
Pb  0.296  0.738  0.296
Pb  0.500  0.000  0.500
Pb  0.500  0.500  0.000
Pb  0.704  0.262  0.704
Pb  0.704  0.704  0.262
Pb  0.738  0.296  0.296



# 11
# Ba3Pb

Ba3Pb at its PBEsol-relaxed geometry (meta-GGA SCAN, the Alexandria database).

Values from the calculation:
Uncorrected energy: -195.20 eV for the cell shown
Space group: R-3m (166)
Mass density: 6.054 Mg/m³

Cell lengths 7.175, 7.175, 7.175 Å; angles 116.73, 116.73, 116.73 degrees
Element x y z (fractional)
Ba  0.000  0.500  0.500
Ba  0.500  0.000  0.500
Ba  0.500  0.500  0.000
Pb  0.000  0.000  0.000



# 12
# BaPb

BaPb at its PBEsol-relaxed geometry (meta-GGA SCAN, the Alexandria database).

Values from the calculation:
Uncorrected energy: -232.28 eV for the cell shown
Space group: Fd-3m (227)
Mass density: 7.859 Mg/m³

Cell lengths 5.905, 5.905, 5.905 Å; angles 60.00, 60.00, 60.00 degrees
Element x y z (fractional)
Ba  0.125  0.125  0.125
Ba  0.875  0.875  0.875
Pb  0.375  0.375  0.375
Pb  0.625  0.625  0.625



# 13
# BaPb2

BaPb2 at its PBEsol-relaxed geometry (meta-GGA SCAN, the Alexandria database).

Values from the calculation:
Uncorrected energy: -192.64 eV for the cell shown
Space group: I4/mmm (139)
Mass density: 8.922 Mg/m³

Cell lengths 6.832, 6.832, 6.832 Å; angles 145.34, 145.34, 49.83 degrees
Element x y z (fractional)
Ba  0.000  0.000  0.000
Pb  0.307  0.307  0.000
Pb  0.693  0.693  0.000



# 14
# BaPb2

BaPb2 at its PBEsol-relaxed geometry (meta-GGA SCAN, the Alexandria database).

Values from the calculation:
Uncorrected energy: -385.60 eV for the cell shown
Space group: Cm (8)
Mass density: 8.857 Mg/m³

Cell lengths 6.508, 6.508, 7.415 Å; angles 110.78, 110.78, 45.54 degrees
Element x y z (fractional)
Ba  0.000  0.000  0.000
Ba  0.693  0.693  0.404
Pb  0.027  0.027  0.524
Pb  0.343  0.343  0.179
Pb  0.405  0.405  0.641
Pb  0.691  0.691  0.890



# 15
# Ba5Pb

Ba5Pb at its PBEsol-relaxed geometry (meta-GGA SCAN, the Alexandria database).

Values from the calculation:
Uncorrected energy: -275.15 eV for the cell shown
Space group: C2/m (12)
Mass density: 4.848 Mg/m³

Cell lengths 7.608, 7.608, 9.853 Å; angles 110.64, 110.64, 35.30 degrees
Element x y z (fractional)
Ba  0.000  0.000  0.000
Ba  0.343  0.343  0.223
Ba  0.366  0.366  0.631
Ba  0.634  0.634  0.369
Ba  0.657  0.657  0.777
Pb  0.000  0.000  0.500



# 16
# Ba3Pb

Ba3Pb at its PBEsol-relaxed geometry (meta-GGA SCAN, the Alexandria database).

Values from the calculation:
Uncorrected energy: -195.90 eV for the cell shown
Space group: Pmmm (47)
Mass density: 5.861 Mg/m³

Cell lengths 4.163, 4.978, 8.465 Å; angles 90.00, 90.00, 90.00 degrees
Element x y z (fractional)
Ba  0.000  0.000  0.000
Ba  0.500  0.500  0.295
Ba  0.500  0.500  0.705
Pb  0.000  0.000  0.500



# 17
# BaPb3

BaPb3 at its PBEsol-relaxed geometry (meta-GGA SCAN, the Alexandria database).

Values from the calculation:
Uncorrected energy: -268.89 eV for the cell shown
Space group: Pm-3m (221)
Mass density: 9.978 Mg/m³

Cell lengths 5.017, 5.017, 5.017 Å; angles 90.00, 90.00, 90.00 degrees
Element x y z (fractional)
Ba  0.000  0.000  0.000
Pb  0.000  0.500  0.500
Pb  0.500  0.000  0.500
Pb  0.500  0.500  0.000



# 18
# Ba5Pb

Ba5Pb at its PBEsol-relaxed geometry (meta-GGA SCAN, the Alexandria database).

Values from the calculation:
Uncorrected energy: -275.04 eV for the cell shown
Space group: Cmmm (65)
Mass density: 5.213 Mg/m³

Cell lengths 9.475, 9.475, 5.724 Å; angles 90.00, 90.00, 146.35 degrees
Element x y z (fractional)
Ba  0.000  0.000  0.000
Ba  0.145  0.855  0.500
Ba  0.341  0.659  0.000
Ba  0.659  0.341  0.000
Ba  0.855  0.145  0.500
Pb  0.500  0.500  0.500



# 19
# BaPb2

BaPb2 at its PBEsol-relaxed geometry (meta-GGA SCAN, the Alexandria database).

Values from the calculation:
Uncorrected energy: -386.08 eV for the cell shown
Space group: Fd-3m (227)
Mass density: 8.951 Mg/m³

Cell lengths 6.615, 6.615, 6.615 Å; angles 60.00, 60.00, 60.00 degrees
Element x y z (fractional)
Ba  0.125  0.125  0.125
Ba  0.875  0.875  0.875
Pb  0.000  0.500  0.500
Pb  0.500  0.000  0.500
Pb  0.500  0.500  0.000
Pb  0.500  0.500  0.500



# 20
# Ba5Pb3

Ba5Pb3 at its PBEsol-relaxed geometry (meta-GGA SCAN, the Alexandria database).

Values from the calculation:
Uncorrected energy: -862.35 eV for the cell shown
Space group: I4/mcm (140)
Mass density: 5.906 Mg/m³

Cell lengths 10.903, 10.903, 10.903 Å; angles 130.34, 130.34, 72.87 degrees
Element x y z (fractional)
Ba  0.000  0.000  0.000
Ba  0.033  0.533  0.852
Ba  0.180  0.033  0.500
Ba  0.320  0.820  0.852
Ba  0.467  0.320  0.500
Ba  0.500  0.500  0.000
Ba  0.533  0.680  0.500
Ba  0.680  0.180  0.148
Ba  0.820  0.967  0.500
Ba  0.967  0.467  0.148
Pb  0.120  0.380  0.500
Pb  0.250  0.250  0.000
Pb  0.380  0.880  0.260
Pb  0.620  0.120  0.740
Pb  0.750  0.750  0.000
Pb  0.880  0.620  0.500



no.,DFT formation energy (eV per formula unit)
1,0.7
2,-1.9
3,-1.7
4,-1.5
5,-1.6
6,-1.9
7,-1.6
8,-1.9
9,-1.9
10,-2.1
11,-0.8
12,-0.8
13,-1.5
14,-1.7
15,-1.6
16,-1.5
17,-2.0
18,-1.5
19,-1.9
20,-6.1